1.
Be2AsRh after structural relaxation, computed with GGA-PBE.

Properties
Its energy of formation from the pure elements is -120.9 meV/atom. Its final energy is -39.9 eV/cell. Its size of the total moment is 0.000 μB/f.u.

a = 3.6238 Å, b = 3.6238 Å, c = 7.2196 Å
α = 90.00°, β = 90.00°, γ = 90.00°
Fractional positions:
Be  0.0000  0.5000  0.2500
Be  0.0000  0.5000  0.7500
Be  0.5000  0.0000  0.2500
Be  0.5000  0.0000  0.7500
As  0.0000  0.0000  0.0000
As  0.5000  0.5000  0.5000
Rh  0.0000  0.0000  0.5000
Rh  0.5000  0.5000  0.0000

---

2.
MnFeAu2 after structural relaxation, computed with GGA-PBE.

Properties
Its energy of formation from the pure elements is 213.4 meV/atom. Its final energy is -46.7 eV/cell. Its size of the total moment is 6.806 μB/f.u.

a = 9.1617 Å, b = 2.9145 Å, c = 4.8901 Å
α = 90.00°, β = 101.84°, γ = 90.00°
Fractional positions:
Mn  0.0000  0.0000  0.0000
Mn  0.5000  0.5000  0.0000
Fe  0.0000  0.5000  0.5000
Fe  0.5000  0.0000  0.5000
Au  0.2452  0.0000  0.7465
Au  0.2548  0.5000  0.2535
Au  0.7452  0.5000  0.7465
Au  0.7548  0.0000  0.2535

---

3.
TlNi2PdN after structural relaxation, computed with GGA-PBE.

Properties
Its final energy is -26.7 eV/cell. Its size of the total moment is 0.000 μB/f.u.

a = 3.8741 Å, b = 3.8741 Å, c = 4.4116 Å
α = 90.00°, β = 90.00°, γ = 90.00°
Fractional positions:
Tl  0.0000  0.0000  0.0000
Ni  0.0000  0.5000  0.5000
Ni  0.5000  0.0000  0.5000
Pd  0.5000  0.5000  0.0000
N  0.5000  0.5000  0.5000